1.
Below is HoTaAl2O8 after structural relaxation, with properties calculated at the GGA-PBE level.

Calculated values
**ΔE_f (raw)**: -2.576 eV per atom

Structure (POSCAR):
```
HoTaAl2O8
1.0
-3.724 -1.476 4.098
2.537 -4.521 -2.442
4.088 3.204 2.422
Ho Ta Al O
1 1 2 8
direct
0.000 0.000 0.000
0.250 0.750 0.500
0.750 0.250 0.500
0.500 0.500 0.000
0.371 0.048 0.323
0.327 0.532 0.206
0.327 0.121 0.794
0.725 0.048 0.677
0.879 0.673 0.206
0.952 0.275 0.323
0.952 0.629 0.677
0.468 0.673 0.794
```



2.
Below is HoTaAlO6 after structural relaxation, with properties calculated at the GGA-PBE level.

Calculated values
**ΔE_f (raw)**: -2.845 eV per atom

Structure (POSCAR):
```
HoTaAlO6
1.0
-2.865 3.017 2.457
-4.001 -1.451 -2.884
1.080 -2.518 4.351
Ho Ta Al O
1 1 1 6
direct
0.000 0.333 0.667
0.500 0.667 0.333
0.500 0.000 0.000
0.719 0.698 0.677
0.719 0.323 0.020
0.719 0.980 0.302
0.281 0.323 0.302
0.281 0.698 0.020
0.281 0.980 0.677
```



3.
Below is Tb2HoAlO after structural relaxation, with properties calculated at the GGA-PBE level.

Calculated values
**ΔE_f (raw)**: -1.371 eV per atom

Structure (POSCAR):
```
Tb2HoAlO
1.0
4.690 0.000 0.000
0.000 4.757 0.000
0.000 0.000 4.757
Tb Ho Al O
2 1 1 1
direct
0.000 0.000 0.500
0.000 0.500 0.000
0.500 0.000 0.000
0.500 0.500 0.500
0.000 0.000 0.000
```



4.
Below is HoAl2TeO8 after structural relaxation, with properties calculated at the GGA-PBE level.

Calculated values
**ΔE_f (raw)**: -2.010 eV per atom

Structure (POSCAR):
```
HoAl2TeO8
1.0
-2.611 5.049 0.513
0.198 -1.768 -5.424
-2.943 -3.845 3.022
Ho Al Te O
1 2 1 8
direct
0.000 0.000 0.000
0.750 0.250 0.500
0.500 0.500 0.000
0.250 0.750 0.500
0.370 0.044 0.326
0.315 0.515 0.200
0.315 0.115 0.800
0.717 0.044 0.674
0.885 0.685 0.200
0.956 0.283 0.326
0.956 0.630 0.674
0.485 0.685 0.800
```



5.
Below is HoAlTeO6 after structural relaxation, with properties calculated at the GGA-PBE level.

Calculated values
**ΔE_f (raw)**: -2.372 eV per atom

Structure (POSCAR):
```
HoAlTeO6
1.0
-1.561 4.711 1.006
-3.083 -3.926 0.856
3.526 -0.781 9.122
Ho Al Te O
2 2 2 12
direct
0.000 0.000 0.000
0.000 0.000 0.500
0.667 0.333 0.250
0.333 0.667 0.750
0.333 0.667 0.250
0.667 0.333 0.750
0.637 0.634 0.141
0.997 0.363 0.141
0.363 0.997 0.641
0.003 0.637 0.859
0.366 0.363 0.359
0.997 0.634 0.359
0.634 0.997 0.859
0.637 0.003 0.359
0.003 0.366 0.641
0.366 0.003 0.141
0.634 0.637 0.641
0.363 0.366 0.859
```



6.
Below is Ho4AlTlO after structural relaxation, with properties calculated at the GGA-PBE level.

Calculated values
**ΔE_f (raw)**: -1.028 eV per atom

Structure (POSCAR):
```
Ho4AlTlO
1.0
6.485 0.000 0.000
0.000 6.489 0.000
-3.242 0.000 8.093
Ho Al Tl O
8 2 2 2
direct
0.918 0.250 0.835
0.426 0.750 0.853
0.082 0.750 0.165
0.574 0.250 0.147
0.500 0.500 0.500
0.000 0.000 0.500
0.500 0.000 0.500
0.000 0.500 0.500
0.616 0.750 0.232
0.384 0.250 0.768
0.109 0.250 0.219
0.891 0.750 0.781
0.240 0.750 0.481
0.760 0.250 0.519
```